DFT (PBEsol) results for an optimized crystal structure of Mo2OsAu.

Structure (POSCAR):
```
Mo2OsAu
1.0
2.787 0.000 0.000
0.000 3.935 0.000
0.000 0.000 5.546
Mo Os Au
2 1 1
direct
0.000 0.000 0.772
0.000 0.000 0.228
0.500 0.500 0.000
0.500 0.500 0.500
```

Computed properties:
Its space group is Pmmm, No. 47. As for the total energy: -39.34 eV for the cell shown. The value obtained for the formation energy is 0.34 eV/f.u. For the excess energy over the best structure of this formula in the dataset, the calculation gives 0 meV per atom.

---

DFT (PBEsol) results for an optimized crystal structure of MoPAu2.

Structure (POSCAR):
```
MoPAu2
1.0
-0.436 2.456 -1.321
-0.632 -2.209 -3.900
-4.628 -1.452 1.573
Mo P Au
1 1 2
direct
0.500 0.500 0.000
0.500 0.500 0.500
0.848 0.000 0.740
0.152 0.000 0.260
```

Computed properties:
Its space group is P2/m, No. 10. As for the total energy: -24.32 eV for the cell shown. The value obtained for the formation energy is 1.09 eV/f.u.

---

DFT (PBEsol) results for an optimized crystal structure of MoPAu2.

Structure (POSCAR):
```
MoPAu2
1.0
-1.657 -2.398 -0.472
3.216 -2.247 0.133
-1.444 1.699 5.675
Au P Mo
2 1 1
direct
0.692 0.692 0.384
0.308 0.308 0.616
0.000 0.500 0.000
0.500 0.000 0.000
```

Computed properties:
Its space group is Immm, No. 71. As for the total energy: -24.79 eV for the cell shown. The value obtained for the formation energy is 0.62 eV/f.u.

---

Which formula does entry 2 have? MoPAu2